Dy2Tm7Mg: optimized geometry, PBE.

Unit cell a=9.232 b=9.232 c=5.242 alpha=90.00 beta=90.00 gamma=124.52
Fractional positions:
Dy 0.205 0.795 0.000
Dy 0.795 0.205 0.000
Tm 0.000 0.000 0.000
Tm 0.216 0.429 0.000
Tm 0.301 0.699 0.500
Tm 0.429 0.216 0.000
Tm 0.571 0.784 0.000
Tm 0.699 0.301 0.500
Tm 0.784 0.571 0.000
Mg 0.500 0.500 0.500

Values from the calculation:
Energy of formation = 16.11 kcal/mol of atoms
Space-group type = Cmmm
Total magnetization = 0.00 μB/f.u.

---

DyTm4Mg4: optimized geometry, PBE.

Unit cell a=6.874 b=6.874 c=11.372 alpha=90.00 beta=90.00 gamma=90.00
Fractional positions:
Dy 0.250 0.750 0.250
Dy 0.750 0.250 0.750
Tm 0.026 0.250 0.181
Tm 0.250 0.026 0.681
Tm 0.250 0.474 0.681
Tm 0.474 0.250 0.181
Tm 0.526 0.750 0.819
Tm 0.750 0.526 0.319
Tm 0.750 0.974 0.319
Tm 0.974 0.750 0.819
Mg 0.025 0.250 0.471
Mg 0.250 0.025 0.971
Mg 0.250 0.475 0.971
Mg 0.475 0.250 0.471
Mg 0.525 0.750 0.529
Mg 0.750 0.525 0.029
Mg 0.750 0.975 0.029
Mg 0.975 0.750 0.529

Values from the calculation:
Energy of formation = 6.18 kcal/mol of atoms
Space-group type = P4_2/nmc
Total magnetization = 0.00 μB/f.u.

---

Dy2TmMg4: optimized geometry, PBE.

Unit cell a=8.091 b=8.091 c=8.091 alpha=141.19 beta=141.19 gamma=56.05
Fractional positions:
Dy 0.250 0.250 0.000
Dy 0.750 0.750 0.000
Tm 0.000 0.000 0.000
Mg 0.116 0.616 0.500
Mg 0.384 0.884 0.500
Mg 0.616 0.116 0.500
Mg 0.884 0.384 0.500

Values from the calculation:
Energy of formation = 3.37 kcal/mol of atoms
Energy above the lowest structure with this stoichiometry = 0.0 meV/atom
Space-group type = I4/mmm
Total magnetization = 0.41 μB/f.u.

---

DyTm8Mg6: optimized geometry, PBE.

Unit cell a=8.232 b=8.232 c=8.232 alpha=66.42 beta=66.42 gamma=66.42
Fractional positions:
Dy 0.000 0.000 0.000
Tm 0.118 0.450 0.783
Tm 0.217 0.882 0.550
Tm 0.340 0.340 0.340
Tm 0.450 0.783 0.118
Tm 0.550 0.217 0.882
Tm 0.660 0.660 0.660
Tm 0.783 0.118 0.450
Tm 0.882 0.550 0.217
Mg 0.045 0.715 0.385
Mg 0.285 0.615 0.955
Mg 0.385 0.045 0.715
Mg 0.615 0.955 0.285
Mg 0.715 0.385 0.045
Mg 0.955 0.285 0.615

Values from the calculation:
Energy of formation = 5.06 kcal/mol of atoms
Space-group type = R-3
Total magnetization = 0.00 μB/f.u.

---

Dy2TmMg4: optimized geometry, PBE.

Unit cell a=8.899 b=8.899 c=8.899 alpha=143.80 beta=143.80 gamma=52.13
Fractional positions:
Dy 0.103 0.103 0.000
Dy 0.897 0.897 0.000
Tm 0.500 0.500 0.000
Mg 0.000 0.500 0.500
Mg 0.311 0.311 0.000
Mg 0.500 0.000 0.500
Mg 0.689 0.689 0.000

Values from the calculation:
Energy of formation = 14.15 kcal/mol of atoms
Energy above the lowest structure with this stoichiometry = 467.2 meV/atom
Space-group type = I4/mmm
Total magnetization = 0.00 μB/f.u.

---

DyTm3Mg8: optimized geometry, PBE.

Unit cell a=6.033 b=6.033 c=9.705 alpha=90.00 beta=90.00 gamma=120.00
Fractional positions:
Dy 0.000 0.000 0.000
Tm 0.000 0.000 0.373
Tm 0.667 0.333 0.499
Tm 0.667 0.333 0.871
Mg 0.163 0.325 0.685
Mg 0.163 0.837 0.685
Mg 0.333 0.667 0.436
Mg 0.333 0.667 0.936
Mg 0.504 0.009 0.186
Mg 0.504 0.496 0.186
Mg 0.675 0.837 0.685
Mg 0.991 0.496 0.186

Values from the calculation:
Energy of formation = -1.31 kcal/mol of atoms
Space-group type = P3m1
Total magnetization = 0.00 μB/f.u.

---

What did the second record say?
DyTm4Mg4: optimized geometry, PBE.

Unit cell a=6.874 b=6.874 c=11.372 alpha=90.00 beta=90.00 gamma=90.00
Fractional positions:
Dy 0.250 0.750 0.250
Dy 0.750 0.250 0.750
Tm 0.026 0.250 0.181
Tm 0.250 0.026 0.681
Tm 0.250 0.474 0.681
Tm 0.474 0.250 0.181
Tm 0.526 0.750 0.819
Tm 0.750 0.526 0.319
Tm 0.750 0.974 0.319
Tm 0.974 0.750 0.819
Mg 0.025 0.250 0.471
Mg 0.250 0.025 0.971
Mg 0.250 0.475 0.971
Mg 0.475 0.250 0.471
Mg 0.525 0.750 0.529
Mg 0.750 0.525 0.029
Mg 0.750 0.975 0.029
Mg 0.975 0.750 0.529

Values from the calculation:
Energy of formation = 6.18 kcal/mol of atoms
Space-group type = P4_2/nmc
Total magnetization = 0.00 μB/f.u.

---

> The highest energy of formation belongs to which entry?

Dy2Tm7Mg

---

Repeat the second record exactly.
DyTm4Mg4: optimized geometry, PBE.

Unit cell a=6.874 b=6.874 c=11.372 alpha=90.00 beta=90.00 gamma=90.00
Fractional positions:
Dy 0.250 0.750 0.250
Dy 0.750 0.250 0.750
Tm 0.026 0.250 0.181
Tm 0.250 0.026 0.681
Tm 0.250 0.474 0.681
Tm 0.474 0.250 0.181
Tm 0.526 0.750 0.819
Tm 0.750 0.526 0.319
Tm 0.750 0.974 0.319
Tm 0.974 0.750 0.819
Mg 0.025 0.250 0.471
Mg 0.250 0.025 0.971
Mg 0.250 0.475 0.971
Mg 0.475 0.250 0.471
Mg 0.525 0.750 0.529
Mg 0.750 0.525 0.029
Mg 0.750 0.975 0.029
Mg 0.975 0.750 0.529

Values from the calculation:
Energy of formation = 6.18 kcal/mol of atoms
Space-group type = P4_2/nmc
Total magnetization = 0.00 μB/f.u.

---

> total magnetization of number 3 (Dy2TmMg4)?

0.41 μB/f.u.